# 1
TeHBr3 | PBE | optimized geometry

Geometry as CIF:
```
data_TeHBr3
_symmetry_space_group_name_H-M 'P m -3 m'
_symmetry_Int_Tables_number 221
_symmetry_space_group_name_Hall '-P 4 2 3'
_cell_length_a 4.743
_cell_length_b 4.743
_cell_length_c 4.743
_cell_angle_alpha 90.00
_cell_angle_beta 90.00
_cell_angle_gamma 90.00
loop_
_atom_site_label
_atom_site_fract_x
_atom_site_fract_y
_atom_site_fract_z
Te1 0.000 0.000 0.000
H1 0.500 0.500 0.500
Br1 0.000 0.500 0.500
```

## Properties
Offset from the most stable computed form, kJ/mol of formula units: 381
Calculated density, g/cm³: 5.7

=====

# 2
TeHBr2 | PBE | optimized geometry

Geometry as CIF:
```
data_TeHBr2
_symmetry_space_group_name_H-M 'I -4 2 d'
_symmetry_Int_Tables_number 122
_symmetry_space_group_name_Hall 'I -4 2bw'
_cell_length_a 6.221
_cell_length_b 6.221
_cell_length_c 9.997
_cell_angle_alpha 90.00
_cell_angle_beta 90.00
_cell_angle_gamma 90.00
loop_
_atom_site_label
_atom_site_fract_x
_atom_site_fract_y
_atom_site_fract_z
Te1 0.000 0.000 0.000
H1 0.000 0.000 0.500
Br1 0.114 0.250 0.625
```

## Properties
Offset from the most stable computed form, kJ/mol of formula units: 56
Calculated density, g/cm³: 5.0

=====

# 3
TeH12Br6 | PBE | optimized geometry

Geometry as CIF:
```
data_TeH12Br6
_symmetry_space_group_name_H-M 'P -1'
_symmetry_Int_Tables_number 2
_cell_length_a 7.652
_cell_length_b 8.300
_cell_length_c 8.902
_cell_angle_alpha 63.26
_cell_angle_beta 87.97
_cell_angle_gamma 65.80
loop_
_symmetry_equiv_pos_as_xyz
'x,y,z'
'-x,-y,-z'
loop_
_atom_site_label
_atom_site_fract_x
_atom_site_fract_y
_atom_site_fract_z
Te1 0.000 0.000 0.000
H1 0.017 0.338 0.278
H2 0.054 0.858 0.225
H3 0.085 0.163 0.011
H4 0.235 0.847 0.990
H5 0.328 0.370 0.723
H6 0.349 0.291 0.449
Br1 0.171 0.671 0.722
Br2 0.307 0.363 0.263
Br3 0.429 0.171 0.731
```

## Properties
E_tot, eV/atom: -2.73
Calculated density, g/cm³: 2.3

=====

# 4
TeH2Br | PBE | optimized geometry

Geometry as CIF:
```
data_TeH2Br
_symmetry_space_group_name_H-M 'I 41/a m d'
_symmetry_Int_Tables_number 141
_cell_length_a 4.817
_cell_length_b 4.817
_cell_length_c 12.134
_cell_angle_alpha 90.00
_cell_angle_beta 90.00
_cell_angle_gamma 90.00
loop_
_symmetry_equiv_pos_as_xyz
'x,y,z'
'-x,-y,-z'
'-y+1/4,x+3/4,z+1/4'
'y+1/4,-x+3/4,-z+1/4'
'-x+1/2,-y,z+1/2'
'x+1/2,y,-z+1/2'
'y+1/4,-x+1/4,z+3/4'
'-y+1/4,x+1/4,-z+3/4'
'x,-y,-z'
'-x,y,z'
'-y+1/4,-x+1/4,-z+3/4'
'y+1/4,x+1/4,z+3/4'
'-x+1/2,y,-z+1/2'
'x+1/2,-y,z+1/2'
'y+1/4,x+3/4,-z+1/4'
'-y+1/4,-x+3/4,z+1/4'
'x+1/2,y+1/2,z+1/2'
'-x+1/2,-y+1/2,-z+1/2'
'-y+3/4,x+1/4,z+3/4'
'y+3/4,-x+1/4,-z+3/4'
'-x,-y+1/2,z'
'x,y+1/2,-z'
'y+3/4,-x+3/4,z+1/4'
'-y+3/4,x+3/4,-z+1/4'
'x+1/2,-y+1/2,-z+1/2'
'-x+1/2,y+1/2,z+1/2'
'-y+3/4,-x+3/4,-z+1/4'
'y+3/4,x+3/4,z+1/4'
'-x,y+1/2,-z'
'x,-y+1/2,z'
'y+3/4,x+1/4,-z+3/4'
'-y+3/4,-x+1/4,z+3/4'
loop_
_atom_site_label
_atom_site_fract_x
_atom_site_fract_y
_atom_site_fract_z
Te1 0.000 0.250 0.375
H1 0.000 0.000 0.500
Br1 0.000 0.250 0.875
```

## Properties
Offset from the most stable computed form, kJ/mol of formula units: 0
Calculated density, g/cm³: 4.9

=====

# 5
TeHBr3 | PBE | optimized geometry

Geometry as CIF:
```
data_TeHBr3
_symmetry_space_group_name_H-M 'P -1'
_symmetry_Int_Tables_number 2
_cell_length_a 5.071
_cell_length_b 7.340
_cell_length_c 10.616
_cell_angle_alpha 75.79
_cell_angle_beta 85.44
_cell_angle_gamma 74.76
loop_
_symmetry_equiv_pos_as_xyz
'x,y,z'
'-x,-y,-z'
loop_
_atom_site_label
_atom_site_fract_x
_atom_site_fract_y
_atom_site_fract_z
Te1 0.189 0.452 0.186
H1 0.135 0.424 0.781
Br1 0.101 0.745 0.936
Br2 0.187 0.202 0.403
Br3 0.385 0.689 0.278
```

## Properties
Offset from the most stable computed form, kJ/mol of formula units: 0
Calculated density, g/cm³: 3.3

=====

# 6
TeH3Br | PBE | optimized geometry

Geometry as CIF:
```
data_TeH3Br
_symmetry_space_group_name_H-M 'P m -3 m'
_symmetry_Int_Tables_number 221
_symmetry_space_group_name_Hall '-P 4 2 3'
_cell_length_a 4.001
_cell_length_b 4.001
_cell_length_c 4.001
_cell_angle_alpha 90.00
_cell_angle_beta 90.00
_cell_angle_gamma 90.00
loop_
_atom_site_label
_atom_site_fract_x
_atom_site_fract_y
_atom_site_fract_z
Te1 0.000 0.000 0.000
H1 0.000 0.500 0.500
Br1 0.500 0.500 0.500
```

## Properties
Offset from the most stable computed form, kJ/mol of formula units: 513
Calculated density, g/cm³: 5.5